An optimized crystal structure of Rb2Hf3MnO8, computed with PBE+U.

- Final energy: -8.4603 eV/atom
- V: 746.0 Å³ per cell
- D(E_F): 0.00 states/eV/atom

a = 6.4640 Å, b = 6.4640 Å, c = 20.6162 Å
α = 90.00°, β = 90.00°, γ = 120.00°
With the nearest neighbours (Å) after each atom.
Space group R3m (No. 160, hexagonal axes)
Symmetry-distinct sites (fractional):
Rb 0.0000 0.0000 0.0000  6 O 2.89-3.01
Rb 0.0000 0.0000 0.3537  4 O 2.77-2.81
Hf 0.0009 0.5004 0.5007  6 O 2.09-2.15
Mn 0.0000 0.0000 0.5183  3 O 2.14
O 0.0000 0.0000 0.2191  3 Hf 2.15
O 0.0000 0.0000 0.7834  3 Hf 2.13
O 0.0172 0.5086 0.7849  2 Hf 2.09
O 0.1795 0.3590 0.5539  2 Hf 2.10, 1 Mn 2.14